Na8Hg2Pb3 after structural relaxation. Source: Alexandria, functional PBE-GGA.

Geometry as extended XYZ:
```
13
Lattice="6.1875 -5.6719 0.0000 6.1875 5.6719 0.0000 -2.2357 0.0000 5.3517" Properties=species:S:1:pos:R:3 pbc="T T T"
Na 0.1936 0.0000 1.6045
Na 2.2483 2.6934 4.5012
Na 3.4998 0.0000 2.2145
Na 7.8910 2.6934 0.8505
Na 2.2483 -2.6934 4.5012
Na 6.6395 0.0000 3.1372
Na 7.8910 -2.6934 0.8505
Na 9.9458 0.0000 3.7472
Hg 0.4976 0.0000 4.6834
Hg 9.6418 0.0000 0.6683
Pb 5.0697 2.8309 2.6758
Pb 6.1875 0.0000 0.0000
Pb 5.0697 -2.8309 2.6758
```

Computed properties:
For the total moment, the calculation gives 0.0 μB per cell. The energy of formation from the pure elements comes out at -12 kJ/mol of atoms. The volume is 28.89 A^3/atom.